Here is LiTmPd after structural relaxation from the Open Quantum Materials Database. Energies are from GGA-PBE.

Output
V ... 68.1 Å³/f.u.
Excess energy over the best structure of this formula in the dataset ... 37.9 kJ/mol of atoms
Size of the total moment ... 0.00 μB per cell

a b c (Å): 4.5836 4.5836 4.5836
angles (deg): 60.00 60.00 60.00
Positions (direct):
Li 0.0000 0.0000 0.0000
Tm 0.2500 0.2500 0.2500
Pd 0.5000 0.5000 0.5000